(1)
Here is LiCd6Au2 after structural relaxation from the Alexandria database. Energies are from GGA-PBE.

CIF file:
```
data_LiCd6Au2
_cell_length_a 4.8051
_cell_length_b 4.8051
_cell_length_c 9.0188
_cell_angle_alpha 90.00
_cell_angle_beta 90.00
_cell_angle_gamma 120.00
_symmetry_space_group_name_H-M 'P -3 m 1'
_symmetry_Int_Tables_number 164
_symmetry_space_group_name_Hall '-P 3 2"'
loop_
_atom_site_label
_atom_site_fract_x
_atom_site_fract_y
_atom_site_fract_z
Li1 0.0000 0.0000 0.0000
Cd1 0.0000 0.0000 0.3151
Cd2 0.3333 0.6667 0.5406
Cd3 0.3333 0.6667 0.8852
Au1 0.3333 0.6667 0.2014
```

M_tot, μB/cell: 0.0
Total energy, eV per atom: -1.723
ΔE to the lowest computed polymorph, meV/atom: 0
Energy relative to the elements, eV per atom: -0.17

(2)
Here is KOF3 after structural relaxation from the Alexandria database. Energies are from GGA-PBE.

CIF file:
```
data_KOF3
_cell_length_a 3.949
_cell_length_b 3.949
_cell_length_c 3.949
_cell_angle_alpha 90.00
_cell_angle_beta 90.00
_cell_angle_gamma 90.00
_symmetry_space_group_name_H-M 'P m -3 m'
_symmetry_Int_Tables_number 221
_symmetry_space_group_name_Hall '-P 4 2 3'
loop_
_atom_site_label
_atom_site_fract_x
_atom_site_fract_y
_atom_site_fract_z
K1 0.000 0.000 0.000
O1 0.500 0.500 0.500
F1 0.000 0.500 0.500
```

E_form (uncorrected), eV per atom: -0.83
M_tot, μB/cell: 0.0
Total energy, eV per atom: -3.168
ΔE to the lowest computed polymorph, meV/atom: 280

(3)
Here is Y3Tm2Al2 after structural relaxation from the Alexandria database. Energies are from GGA-PBE.

CIF file:
```
data_Y3Tm2Al2
_cell_length_a 3.444
_cell_length_b 32.211
_cell_length_c 3.446
_cell_angle_alpha 90.00
_cell_angle_beta 90.00
_cell_angle_gamma 90.00
_symmetry_space_group_name_H-M 'C m m m'
_symmetry_Int_Tables_number 65
_symmetry_space_group_name_Hall '-C 2 2'
loop_
_atom_site_label
_atom_site_fract_x
_atom_site_fract_y
_atom_site_fract_z
Y1 0.000 0.000 0.000
Y2 0.000 0.123 0.000
Tm1 0.000 0.296 0.500
Al1 0.000 0.438 0.500
```

M_tot, μB/cell: 1.2
Total energy, eV per atom: -5.273
Energy relative to the elements, eV per atom: -0.16

(4)
Here is Tb3Sm2Er5 after structural relaxation from the Alexandria database. Energies are from GGA-PBE.

CIF file:
```
data_Tb3Sm2Er5
_cell_length_a 9.324
_cell_length_b 13.483
_cell_length_c 10.859
_cell_angle_alpha 90.00
_cell_angle_beta 90.00
_cell_angle_gamma 90.00
_symmetry_space_group_name_H-M 'I b a m'
_symmetry_Int_Tables_number 72
_symmetry_space_group_name_Hall '-I 2 2c'
loop_
_atom_site_label
_atom_site_fract_x
_atom_site_fract_y
_atom_site_fract_z
Tb1 0.000 0.000 0.250
Tb2 0.248 0.128 0.000
Sm1 0.104 0.123 0.500
Er1 0.000 0.251 0.250
Er2 0.000 0.500 0.250
Er3 0.085 0.377 0.000
```

M_tot, μB/cell: 0.0
Total energy, eV per atom: -4.200
ΔE to the lowest computed polymorph, meV/atom: 217
Energy relative to the elements, eV per atom: 0.41